The following is a DFT calculation (PBE-GGA) of an optimized crystal structure of NaGdYAl.

a b c (Å): 5.308 5.308 5.308
angles (deg): 60.00 60.00 60.00
Last column: magnetic moment on the atom in μB.
Element x y z (fractional)
Gd 0.000 0.000 0.000  7.19
Na 0.250 0.250 0.250  0.00
Al 0.750 0.750 0.750  -0.02
Y 0.500 0.500 0.500  0.08

- energy relative to the elements (meV per atom) = -65
- D(E_F) (states/eV/atom) = 0.65
- calculated total energy (eV per atom) = -6.47

=====

The following is a DFT calculation (PBE-GGA) of an optimized crystal structure of Co3AgH.

a b c (Å): 4.749 4.749 4.749
angles (deg): 90.00 90.00 90.00
Last column: magnetic moment on the atom in μB.
Element x y z (fractional)
Ag 0.000 0.000 0.000  0.01
Co 0.000 0.500 0.000  2.02
Co 0.000 0.000 0.500  2.35
Co 0.500 0.000 0.000  1.78
H 0.500 0.500 0.500  0.04

- polymorph energy (0 for the lowest one) (meV/atom) = 1946
- D(E_F) (states/eV/atom) = 2.31
- calculated total energy (eV per atom) = -3.29

=====

The following is a DFT calculation (PBE-GGA) of an optimized crystal structure of In2AgAu6.

a b c (Å): 6.913 5.657 5.657
angles (deg): 59.50 75.39 75.39
Element x y z (fractional)
Au 0.286 0.346 0.834
Au 0.286 0.834 0.346
Au 0.602 0.189 0.189
Au 0.714 0.166 0.654
Au 0.714 0.654 0.166
Au 0.398 0.811 0.811
In 0.166 0.354 0.354
In 0.834 0.646 0.646
Ag 0.000 0.000 0.000

- polymorph energy (0 for the lowest one) (meV/atom) = 67
- energy relative to the elements (meV per atom) = -44
- D(E_F) (states/eV/atom) = 0.30
- calculated total energy (eV per atom) = -3.15

=====

The following is a DFT calculation (PBE-GGA) of an optimized crystal structure of Na5Tl4Pb2.

a b c (Å): 3.415 10.430 11.299
angles (deg): 117.48 98.69 90.00
Element x y z (fractional)
Na 0.500 0.000 0.000
Na 0.167 0.904 0.335
Na 0.167 0.430 0.335
Na 0.833 0.570 0.665
Na 0.833 0.096 0.665
Tl 0.412 0.412 0.824
Tl 0.000 0.277 0.000
Tl 0.588 0.588 0.176
Tl 0.000 0.723 0.000
Pb 0.752 0.752 0.503
Pb 0.248 0.248 0.497

- polymorph energy (0 for the lowest one) (meV/atom) = 40
- energy relative to the elements (meV per atom) = -39
- D(E_F) (states/eV/atom) = 0.35
- calculated total energy (eV per atom) = -2.17

=====

The following is a DFT calculation (PBE-GGA) of an optimized crystal structure of NbRhPb2O6.

a b c (Å): 5.753 5.702 8.059
angles (deg): 90.00 90.08 90.00
Element x y z (fractional)
O 0.263 0.732 0.031
O 0.556 0.003 0.253
O 0.730 0.266 0.531
O 0.763 0.768 0.531
O 0.056 0.497 0.753
O 0.230 0.234 0.031
O 0.237 0.232 0.469
O 0.737 0.268 0.969
O 0.770 0.766 0.969
O 0.444 0.997 0.747
O 0.944 0.503 0.247
O 0.270 0.734 0.469
Pb 0.007 0.990 0.250
Pb 0.993 0.010 0.750
Pb 0.493 0.490 0.250
Pb 0.507 0.510 0.750
Rh 0.000 0.500 0.500
Rh 0.500 0.000 0.000
Nb 0.500 0.000 0.500
Nb 0.000 0.500 0.000

- calculated total energy (eV per atom) = -6.96
- uncorrected formation energy (eV per atom) = -1.4990

=====

The following is a DFT calculation (PBE-GGA) of an optimized crystal structure of AcDyIr2.

a b c (Å): 3.519 3.519 7.349
angles (deg): 90.00 90.00 90.00
Last column: magnetic moment on the atom in μB.
Element x y z (fractional)
Ir 0.000 0.000 0.778  0.14
Ir 0.000 0.000 0.222  0.14
Dy 0.500 0.500 0.000  -0.01
Ac 0.500 0.500 0.500  -0.01

- polymorph energy (0 for the lowest one) (meV/atom) = 0
- energy relative to the elements (meV per atom) = -561
- D(E_F) (states/eV/atom) = 0.80
- calculated total energy (eV per atom) = -7.17

=====

The following is a DFT calculation (PBE-GGA) of an optimized crystal structure of Pm3Mg2Tl3.

a b c (Å): 4.564 4.952 10.252
angles (deg): 103.98 102.86 90.00
Last column: magnetic moment on the atom in μB.
Element x y z (fractional)
Mg 0.254 0.754 0.507  0.00
Mg 0.746 0.246 0.493  0.00
Tl 0.859 0.859 0.718  0.00
Tl 0.141 0.141 0.282  0.00
Tl 0.000 0.500 0.000  0.00
Pm 0.500 0.000 0.000  0.23
Pm 0.629 0.629 0.257  0.11
Pm 0.371 0.371 0.743  0.11

- polymorph energy (0 for the lowest one) (meV/atom) = 47
- energy relative to the elements (meV per atom) = -249
- D(E_F) (states/eV/atom) = 0.74
- calculated total energy (eV per atom) = -3.32

=====

The following is a DFT calculation (PBE-GGA) of an optimized crystal structure of Ac4Ge3I.

a b c (Å): 6.548 6.548 6.548
angles (deg): 90.00 90.00 90.00
Element x y z (fractional)
Ge 0.000 0.500 0.500
Ge 0.500 0.500 0.000
Ge 0.500 0.000 0.500
Ac 0.000 0.000 0.500
Ac 0.000 0.500 0.000
Ac 0.500 0.500 0.500
Ac 0.500 0.000 0.000
I 0.000 0.000 0.000

- polymorph energy (0 for the lowest one) (meV/atom) = 47
- D(E_F) (states/eV/atom) = 1.00
- calculated total energy (eV per atom) = -4.75
- uncorrected formation energy (eV per atom) = -0.7671

=====

The following is a DFT calculation (PBE-GGA) of an optimized crystal structure of KCdHg2F8.

a b c (Å): 5.681 5.681 6.927
angles (deg): 114.21 114.21 90.00
Last column: magnetic moment on the atom in μB.
Element x y z (fractional)
F 0.146 0.116 0.765  0.11
F 0.619 0.650 0.765  0.11
F 0.350 0.854 0.235  0.11
F 0.884 0.381 0.235  0.11
F 0.619 0.116 0.765  0.11
F 0.146 0.649 0.765  0.11
F 0.351 0.381 0.235  0.11
F 0.884 0.854 0.235  0.11
Cd 0.000 0.000 0.000  0.00
Hg 0.250 0.750 0.500  0.12
Hg 0.500 0.500 0.000  0.10
K 0.750 0.250 0.500  0.00

- D(E_F) (states/eV/atom) = 0.94
- calculated total energy (eV per atom) = -3.18
- uncorrected formation energy (eV per atom) = -1.7143

=====

The following is a DFT calculation (PBE-GGA) of an optimized crystal structure of BaTa2Ir.

a b c (Å): 4.797 4.797 4.797
angles (deg): 60.00 60.00 60.00
Element x y z (fractional)
Ta 0.750 0.750 0.750
Ta 0.250 0.250 0.250
Ir 0.500 0.500 0.500
Ba 0.000 0.000 0.000

- polymorph energy (0 for the lowest one) (meV/atom) = 565
- energy relative to the elements (meV per atom) = 783
- D(E_F) (states/eV/atom) = 0.70
- calculated total energy (eV per atom) = -7.84

=====

The following is a DFT calculation (PBE-GGA) of an optimized crystal structure of NdZrAl2.

a b c (Å): 3.530 3.530 9.130
angles (deg): 78.85 78.85 60.00
Element x y z (fractional)
Zr 0.000 0.000 0.000
Al 0.257 0.257 0.230
Al 0.743 0.743 0.770
Nd 0.500 0.500 0.500

- polymorph energy (0 for the lowest one) (meV/atom) = 259
- energy relative to the elements (meV per atom) = -74
- D(E_F) (states/eV/atom) = 0.68
- calculated total energy (eV per atom) = -5.27

=====

The following is a DFT calculation (PBE-GGA) of an optimized crystal structure of Ce2BiS6.

a b c (Å): 6.369 6.369 12.619
angles (deg): 90.00 90.00 90.00
Element x y z (fractional)
S 0.697 0.697 0.668
S 0.303 0.303 0.332
S 0.310 0.310 0.000
S 0.303 0.303 0.668
S 0.810 0.190 0.500
S 0.697 0.697 0.332
S 0.190 0.810 0.500
S 0.803 0.197 0.832
S 0.803 0.197 0.168
S 0.197 0.803 0.832
S 0.690 0.690 0.000
S 0.197 0.803 0.168
Ce 0.000 0.000 0.668
Ce 0.500 0.500 0.832
Ce 0.500 0.500 0.168
Ce 0.000 0.000 0.332
Bi 0.000 0.000 0.000
Bi 0.500 0.500 0.500

- D(E_F) (states/eV/atom) = 0.77
- calculated total energy (eV per atom) = -5.58
- uncorrected formation energy (eV per atom) = -1.0747